Crystalline Y3Ge3Ir2 at its relaxed geometry. Source: the Open Quantum Materials Database, functional PBE-GGA.

The structure in extended XYZ format:
```
16
Lattice="2.163 -5.259 0.000 2.163 5.259 0.000 0.000 0.000 14.318" Properties=species:S:1:pos:R:3 pbc="T T T"
Y 2.163 4.374 8.737
Y 2.163 4.374 12.740
Y 2.163 1.488 10.739
Y 2.163 -1.488 3.580
Y 2.163 -4.374 1.578
Y 2.163 -4.374 5.581
Ge 2.163 1.654 3.580
Ge 2.163 1.313 7.669
Ge 2.163 1.313 13.808
Ge 2.163 -1.313 0.510
Ge 2.163 -1.313 6.649
Ge 2.163 -1.654 10.739
Ir 2.163 3.150 1.462
Ir 2.163 3.150 5.698
Ir 2.163 -3.150 8.621
Ir 2.163 -3.150 12.857
```

As for the uncorrected energy: -116.860 eV per cell. Its size of the total moment is 0.000 μB per atom.

=====

Crystalline YGaCoIr at its relaxed geometry. Source: the Open Quantum Materials Database, functional PBE-GGA.

The structure in extended XYZ format:
```
4
Lattice="0.000 3.253 3.253 3.253 0.000 3.253 3.253 3.253 0.000" Properties=species:S:1:pos:R:3 pbc="T T T"
Y 0.000 0.000 0.000
Ga 1.627 1.627 1.627
Co 3.253 3.253 3.253
Ir 4.880 4.880 4.880
```

The offset from the most stable computed form is 1.26 eV per formula unit. Its size of the total moment is 0.529 μB per atom.

=====

Crystalline Pr3Cd2AgHgIr2 at its relaxed geometry. Source: the Open Quantum Materials Database, functional PBE-GGA.

The structure in extended XYZ format:
```
9
Lattice="4.000 0.000 0.000 0.000 6.739 3.921 0.000 -6.739 3.921" Properties=species:S:1:pos:R:3 pbc="T T T"
Pr 0.000 0.000 0.000
Pr 0.000 -2.784 4.924
Pr 0.000 2.784 4.924
Cd 2.000 -1.750 2.261
Cd 2.000 1.750 2.261
Ag 0.000 0.000 3.250
Hg 2.000 0.000 5.331
Ir 2.000 -4.461 3.329
Ir 2.000 4.461 3.329
```

The formation energy from the elements is -4.270 eV per formula unit. Its size of the total moment is 0.000 μB per atom.

=====

Crystalline ErBiNO at its relaxed geometry. Source: the Open Quantum Materials Database, functional PBE-GGA.

The structure in extended XYZ format:
```
8
Lattice="3.673 0.000 0.000 0.000 7.050 0.000 0.000 0.000 5.770" Properties=species:S:1:pos:R:3 pbc="T T T"
Er 0.000 0.977 0.000
Er 0.000 6.073 2.885
Bi 1.837 2.545 2.710
Bi 1.837 4.505 5.595
N 0.000 1.180 2.282
N 0.000 5.870 5.167
O 1.837 1.426 4.810
O 1.837 5.624 1.925
```

The offset from the most stable computed form is 0.30 eV per formula unit. Its size of the total moment is 0.000 μB per atom.

=====

Crystalline Cu17Ag3 at its relaxed geometry. Source: the Open Quantum Materials Database, functional PBE-GGA.

The structure in extended XYZ format:
```
20
Lattice="5.296 0.000 0.000 -1.313 5.609 0.000 -2.582 -1.656 8.562" Properties=species:S:1:pos:R:3 pbc="T T T"
Cu 0.000 0.000 0.000
Cu 4.026 -0.803 4.202
Cu -1.294 2.625 3.366
Cu -2.534 1.812 7.725
Cu -0.040 0.576 2.425
Cu -1.218 -0.201 6.848
Cu 0.018 4.128 1.581
Cu -1.270 3.301 6.004
Cu -0.034 1.237 5.172
Cu 1.352 2.006 0.760
Cu -1.228 3.919 8.492
Cu 0.045 1.834 7.741
Cu 2.738 0.539 2.400
Cu 1.367 -0.147 6.891
Cu 2.708 4.121 1.624
Cu 3.988 2.064 0.817
Cu 2.784 1.198 5.174
Ag 1.326 -0.768 4.207
Ag 1.384 2.582 3.331
Ag 1.403 3.303 6.038
```

The formation energy from the elements is 1.100 eV per formula unit. The offset from the most stable computed form is 0.00 eV per formula unit.

=====

Crystalline Ba2Nb6Te2O21 at its relaxed geometry. Source: the Open Quantum Materials Database, functional PBE-GGA.

The structure in extended XYZ format:
```
31
Lattice="8.435 -2.854 0.000 8.435 2.854 0.000 -1.146 0.000 9.623" Properties=species:S:1:pos:R:3 pbc="T T T"
Ba 2.331 0.000 0.252
Ba 13.392 0.000 9.371
Nb 1.186 0.000 4.005
Nb 5.074 0.000 3.152
Nb 7.154 0.000 8.068
Nb 8.570 0.000 1.555
Nb 10.649 0.000 6.471
Nb 14.537 0.000 5.617
Te 3.800 0.000 7.222
Te 11.924 0.000 2.400
O -0.573 0.000 4.811
O 4.548 1.480 1.598
O 5.474 1.442 4.281
O 6.488 1.467 6.939
O 3.129 0.000 3.354
O 8.435 1.302 0.000
O 9.236 1.467 2.684
O 5.011 0.000 8.681
O 10.249 1.442 5.342
O 6.784 0.000 2.084
O 11.175 1.480 8.025
O 4.548 -1.480 1.598
O 8.940 0.000 7.539
O 5.474 -1.442 4.281
O 10.712 0.000 0.941
O 6.488 -1.467 6.939
O 8.435 -1.302 0.000
O 12.594 0.000 6.268
O 9.236 -1.467 2.684
O 10.249 -1.442 5.342
O 11.175 -1.480 8.025
```

As for the uncorrected energy: -248.364 eV per cell. Its size of the total moment is 0.000 μB per atom.

=====

Q: Which formula does entry 1 have?
A: Y3Ge3Ir2

=====

Repeat the fourth record exactly.
Crystalline ErBiNO at its relaxed geometry. Source: the Open Quantum Materials Database, functional PBE-GGA.

The structure in extended XYZ format:
```
8
Lattice="3.673 0.000 0.000 0.000 7.050 0.000 0.000 0.000 5.770" Properties=species:S:1:pos:R:3 pbc="T T T"
Er 0.000 0.977 0.000
Er 0.000 6.073 2.885
Bi 1.837 2.545 2.710
Bi 1.837 4.505 5.595
N 0.000 1.180 2.282
N 0.000 5.870 5.167
O 1.837 1.426 4.810
O 1.837 5.624 1.925
```

The offset from the most stable computed form is 0.30 eV per formula unit. Its size of the total moment is 0.000 μB per atom.